14
Lattice="-3.372 3.602 4.782 3.372 -3.602 4.782 3.372 3.602 -4.782" Properties=species:S:1:pos:R:3 comment="GGA+U KPaFeO4, relaxed" m_tot_mub_per_atom=0.571 energy_ev_per_atom=-7.659 crystal_system=orthorhombic pbc="T T T"
K 0.000 1.801 1.421
K 3.372 1.801 3.361
Pa 3.372 0.000 0.000
Pa 0.000 0.000 4.782
Fe 1.686 1.801 -2.391
Fe 1.686 -1.801 2.391
O 3.372 -0.424 2.099
O 3.372 3.178 -2.099
O 2.051 1.801 0.019
O 4.694 1.801 0.019
O -1.322 1.801 4.762
O 1.322 1.801 4.762
O 0.000 0.424 6.881
O 0.000 4.025 2.682